# CrCd2Pb

A relaxed structure of CrCd2Pb (PBE, Alexandria via LeMat-Bulk).

Properties
The density of states at the Fermi level is 3.84 states/eV/cell. As for the energy of formation: 46 kJ per mole of atoms. The value obtained for the total moment is 7.96 μB/cell. The calculation puts the total energy at -3.31 eV per atom. The value obtained for the density is 8086 kg/m³.

a b c (Å): 8.2795 8.2795 6.5334
angles (deg): 50.68 50.68 90.00
Site moments in Bohr magnetons follow the coordinates.
Sites, in units of the cell vectors:
Pb 0.0000 0.0000 0.0000  -0.05
Pb 0.7500 0.2500 0.5000  -0.05
Cr 0.5000 0.5000 0.0000  3.72
Cr 0.2500 0.7500 0.5000  3.72
Cd 0.5964 0.1250 0.2500  -0.01
Cd 0.1536 0.6250 0.2500  -0.02
Cd 0.3750 0.4036 0.7500  -0.01
Cd 0.8750 0.8464 0.7500  -0.02